A plane-wave DFT calculation with PBE was carried out for crystalline Ba2ZnPPt6 at its relaxed geometry.

a = 6.5611 Å, b = 6.5611 Å, c = 6.9245 Å
α = 118.05°, β = 118.05°, γ = 60.22°
Last column: nearest neighbours and their distance in Å.
Fractional positions:
Ba 0.2091 0.2091 0.1267  12 Pt 3.38-3.59, 1 P 3.64
Ba 0.7909 0.7909 0.8734  12 Pt 3.38-3.59, 1 P 3.64
Zn 0.5000 0.5000 0.0000  6 Pt 2.60
P 0.0000 0.0000 0.5000  6 Pt 2.38
Pt 0.2429 0.6557 0.6427  1 P 2.38, 1 Zn 2.60
Pt 0.2437 0.2437 0.6431  1 P 2.38, 1 Zn 2.60
Pt 0.3443 0.7571 0.3573  1 P 2.38, 1 Zn 2.60
Pt 0.6557 0.2429 0.6427  1 P 2.38, 1 Zn 2.60
Pt 0.7563 0.7563 0.3569  1 P 2.38, 1 Zn 2.60
Pt 0.7571 0.3443 0.3573  1 P 2.38, 1 Zn 2.60

Output
space-group type: C2/m
energy of formation from the pure elements: -698 meV/atom
uncorrected energy: -53.756 eV/cell

***

A plane-wave DFT calculation with PBE was carried out for crystalline Ba2PuP2 at its relaxed geometry.

a = 8.2454 Å, b = 8.2454 Å, c = 8.2454 Å
α = 121.62°, β = 76.54°, γ = 135.11°
Last column: nearest neighbours and their distance in Å.
Fractional positions:
Ba 0.1475 0.1432 0.2907  5 P 3.22-3.48
Ba 0.3525 0.6432 0.9957  5 P 3.22-3.48
Ba 0.6475 0.3568 0.0043  5 P 3.22-3.48
Ba 0.8525 0.8568 0.7093  5 P 3.22-3.48
Pu 0.2500 0.7500 0.5000  4 P 2.85, 2 Pu 3.15
Pu 0.7500 0.2500 0.5000  4 P 2.85, 2 Pu 3.15
P 0.1108 0.7346 0.8454  2 Pu 2.85
P 0.3892 0.2346 0.6238  2 Pu 2.85
P 0.6108 0.7654 0.3762  2 Pu 2.85
P 0.8892 0.2654 0.1546  2 Pu 2.85

Output
space-group type: Ibam
energy of formation from the pure elements: -906 meV/atom
uncorrected energy: -67.057 eV/cell

***

A plane-wave DFT calculation with PBE was carried out for crystalline Ba5PuP4 at its relaxed geometry.

a = 10.1382 Å, b = 10.1382 Å, c = 8.9360 Å
α = 102.48°, β = 102.48°, γ = 25.58°
Last column: nearest neighbours and their distance in Å.
Fractional positions:
Ba 0.0000 0.0000 0.0000  4 P 3.35
Ba 0.3324 0.3324 0.6493  4 P 3.11-3.42
Ba 0.3438 0.3438 0.1823  3 P 3.06-3.07
Ba 0.6562 0.6562 0.8177  3 P 3.06-3.07
Ba 0.6676 0.6676 0.3507  4 P 3.11-3.42
Pu 0.0000 0.0000 0.5000  6 P 3.00
P 0.1555 0.1555 0.5845  1 Pu 3.00, 4 Ba 3.06-3.11
P 0.4973 0.4973 0.7208  2 Pu 3.00, 4 Ba 3.07-3.35
P 0.5027 0.5027 0.2792  2 Pu 3.00, 4 Ba 3.07-3.35
P 0.8445 0.8445 0.4155  1 Pu 3.00, 4 Ba 3.06-3.11

Output
space-group type: C2/m
energy of formation from the pure elements: -827 meV/atom
uncorrected energy: -53.857 eV/cell

***

A plane-wave DFT calculation with PBE was carried out for crystalline BaPuP2Rh at its relaxed geometry.

a = 7.3849 Å, b = 7.3849 Å, c = 7.3849 Å
α = 146.90°, β = 146.90°, γ = 47.51°
Last column: nearest neighbours and their distance in Å.
Fractional positions:
Ba 0.0000 0.0000 0.0000  8 P 3.44
Pu 0.7500 0.2500 0.5000  4 P 2.68, 4 Rh 2.97
P 0.3726 0.3726 0.0000  2 Pu 2.68, 2 Rh 2.68
P 0.6274 0.6274 0.0000  2 Pu 2.68, 2 Rh 2.68
Rh 0.2500 0.7500 0.5000  4 P 2.68, 4 Pu 2.97

Output
space-group type: I-4m2
energy of formation from the pure elements: -709 meV/atom
uncorrected energy: -37.969 eV/cell

***

A plane-wave DFT calculation with PBE was carried out for crystalline BaPuP2Ru at its relaxed geometry.

a = 7.5342 Å, b = 7.5342 Å, c = 7.5342 Å
α = 148.36°, β = 148.36°, γ = 45.35°
Last column: nearest neighbours and their distance in Å.
Fractional positions:
Ba 0.0000 0.0000 0.0000  8 P 3.39
Pu 0.7500 0.2500 0.5000  4 P 2.68, 4 Ru 2.90
P 0.3736 0.3736 0.0000  2 Ru 2.68, 2 Pu 2.68
P 0.6264 0.6264 0.0000  2 Ru 2.68, 2 Pu 2.68
Ru 0.2500 0.7500 0.5000  4 P 2.68, 4 Pu 2.90

Output
space-group type: I-4m2
energy of formation from the pure elements: -594 meV/atom
uncorrected energy: -39.321 eV/cell

***

A plane-wave DFT calculation with PBE was carried out for crystalline BaPuP2S8 at its relaxed geometry.

a = 6.1036 Å, b = 6.1036 Å, c = 9.2222 Å
α = 90.00°, β = 90.00°, γ = 120.00°
Last column: nearest neighbours and their distance in Å.
Fractional positions:
Ba 0.0000 0.0000 0.0000  12 S 3.53-3.57
Pu 0.0000 0.0000 0.5000  6 S 2.72
P 0.3333 0.6667 0.7562  4 S 2.00-2.08
P 0.6667 0.3333 0.2438  4 S 2.00-2.08
S 0.0059 0.3466 0.6872  1 P 2.08
S 0.3333 0.6667 0.9732  1 P 2.00
S 0.3407 0.9941 0.6872  1 P 2.08
S 0.3466 0.3407 0.3128  1 P 2.08
S 0.6534 0.6593 0.6872  1 P 2.08
S 0.6593 0.0059 0.3128  1 P 2.08
S 0.6667 0.3333 0.0268  1 P 2.00
S 0.9941 0.6534 0.3128  1 P 2.08

Output
uncorrected formation energy: -810 meV per atom
space-group type: P-3
uncorrected energy: -69.819 eV/cell

***

A plane-wave DFT calculation with PBE was carried out for crystalline BaPuP2Se8 at its relaxed geometry.

a = 6.3969 Å, b = 6.3969 Å, c = 9.5927 Å
α = 90.00°, β = 90.00°, γ = 120.00°
Last column: nearest neighbours and their distance in Å.
Fractional positions:
Ba 0.0000 0.0000 0.0000  12 Se 3.70-3.73
Pu 0.0000 0.0000 0.5000  6 Se 2.86
P 0.3333 0.6667 0.7564  4 Se 2.18-2.26
P 0.6667 0.3333 0.2436  4 Se 2.18-2.26
Se 0.0153 0.6597 0.3124  1 P 2.26
Se 0.3333 0.6667 0.9834  1 P 2.18
Se 0.3403 0.3556 0.3124  1 P 2.26
Se 0.3556 0.0153 0.6876  1 P 2.26
Se 0.6444 0.9847 0.3124  1 P 2.26
Se 0.6597 0.6444 0.6876  1 P 2.26
Se 0.6667 0.3333 0.0166  1 P 2.18
Se 0.9847 0.3403 0.6876  1 P 2.26

Output
uncorrected formation energy: -637 meV per atom
space-group type: P-3
uncorrected energy: -62.600 eV/cell

***

A plane-wave DFT calculation with PBE was carried out for crystalline BaPu2SiP4 at its relaxed geometry.

a = 7.2926 Å, b = 7.2926 Å, c = 13.4893 Å
α = 90.00°, β = 90.00°, γ = 147.83°
Last column: nearest neighbours and their distance in Å.
Fractional positions:
Ba 0.1055 0.8945 0.7500  6 P 3.25-3.31
Ba 0.8945 0.1055 0.2500  6 P 3.25-3.31
Pu 0.3697 0.6303 0.5525  6 P 2.75-2.84
Pu 0.3697 0.6303 0.9475  6 P 2.75-2.84
Pu 0.6303 0.3697 0.0525  6 P 2.75-2.84
Pu 0.6303 0.3697 0.4475  6 P 2.75-2.84
Si 0.1651 0.8349 0.2500  4 P 2.24-2.37
Si 0.8349 0.1651 0.7500  4 P 2.24-2.37
P 0.0000 0.0000 0.0000  4 Pu 2.81
P 0.0000 0.0000 0.5000  4 Pu 2.81
P 0.2590 0.7410 0.1159  1 Si 2.24
P 0.2590 0.7410 0.3841  1 Si 2.24
P 0.4237 0.5763 0.7500  2 Si 2.37
P 0.5763 0.4237 0.2500  2 Si 2.37
P 0.7410 0.2590 0.6159  1 Si 2.24
P 0.7410 0.2590 0.8841  1 Si 2.24

Output
uncorrected formation energy: -864 meV per atom
space-group type: Cmcm
uncorrected energy: -129.123 eV/cell

***

A plane-wave DFT calculation with PBE was carried out for crystalline BaPu2SnP4 at its relaxed geometry.

a = 7.3946 Å, b = 7.3946 Å, c = 13.8364 Å
α = 90.00°, β = 90.00°, γ = 147.08°
Last column: nearest neighbours and their distance in Å.
Fractional positions:
Ba 0.1189 0.8811 0.7500  6 P 3.20-3.38
Ba 0.8811 0.1189 0.2500  6 P 3.20-3.38
Pu 0.3738 0.6262 0.5527  6 P 2.74-2.93
Pu 0.3738 0.6262 0.9473  6 P 2.74-2.93
Pu 0.6262 0.3738 0.0527  6 P 2.74-2.93
Pu 0.6262 0.3738 0.4473  6 P 2.74-2.93
Sn 0.1537 0.8463 0.2500  4 P 2.48-2.55
Sn 0.8463 0.1537 0.7500  4 P 2.48-2.55
P 0.0000 0.0000 0.0000  4 Pu 2.85
P 0.0000 0.0000 0.5000  4 Pu 2.85
P 0.2578 0.7422 0.1058  1 Sn 2.48, 1 Pu 2.74
P 0.2578 0.7422 0.3942  1 Sn 2.48, 1 Pu 2.74
P 0.4484 0.5516 0.7500  2 Sn 2.55
P 0.5516 0.4484 0.2500  2 Sn 2.55
P 0.7422 0.2578 0.6058  1 Sn 2.48, 1 Pu 2.74
P 0.7422 0.2578 0.8942  1 Sn 2.48, 1 Pu 2.74

Output
space-group type: Cmcm
energy of formation from the pure elements: -759 meV/atom
uncorrected energy: -124.608 eV/cell

***

A plane-wave DFT calculation with PBE was carried out for crystalline Ba3Pu2UP6 at its relaxed geometry.

a = 7.3085 Å, b = 7.3085 Å, c = 7.6134 Å
α = 99.20°, β = 99.20°, γ = 120.00°
Last column: nearest neighbours and their distance in Å.
Fractional positions:
Ba 0.0000 0.0000 0.0000  6 P 3.26-3.34
Ba 0.3309 0.6691 0.0000  6 P 3.26-3.33
Ba 0.6691 0.3309 0.0000  6 P 3.26-3.33
Pu 0.1663 0.8337 0.5000  6 P 2.85
Pu 0.8337 0.1663 0.5000  6 P 2.85
U 0.5000 0.5000 0.5000  6 P 2.74
P 0.1131 0.4354 0.3058  1 U 2.74, 2 Pu 2.85
P 0.2433 0.2433 0.6959  1 U 2.74, 2 Pu 2.85
P 0.4354 0.1131 0.3058  1 U 2.74, 2 Pu 2.85
P 0.5646 0.8869 0.6942  1 U 2.74, 2 Pu 2.85
P 0.7567 0.7567 0.3041  1 U 2.74, 2 Pu 2.85
P 0.8869 0.5646 0.6942  1 U 2.74, 2 Pu 2.85

Output
space-group type: C2/m
energy of formation from the pure elements: -991 meV/atom
uncorrected energy: -90.069 eV/cell

***

A plane-wave DFT calculation with PBE was carried out for crystalline RbBaP at its relaxed geometry.

a = 10.0307 Å, b = 10.0307 Å, c = 10.0307 Å
α = 115.71°, β = 85.68°, γ = 129.91°
Last column: nearest neighbours and their distance in Å.
Fractional positions:
Rb 0.9997 0.2500 0.2497  5 P 3.52-3.70, 2 Ba 3.77
Rb 0.0003 0.7500 0.7503  5 P 3.52-3.70, 2 Ba 3.77
Rb 0.1700 0.1272 0.5428  5 P 3.52-3.70, 2 Ba 3.77
Rb 0.1701 0.6278 0.0423  5 P 3.52-3.70, 2 Ba 3.77
Rb 0.5845 0.6272 0.4572  5 P 3.52-3.70, 2 Ba 3.77
Rb 0.5855 0.1278 0.9577  5 P 3.52-3.70, 2 Ba 3.77
Ba 0.3138 0.3138 0.0000  2 P 3.13
Ba 0.3138 0.8138 0.5000  2 P 3.13
Ba 0.5851 0.2209 0.3646  2 P 3.13
Ba 0.5851 0.7205 0.8641  2 P 3.13
Ba 0.8563 0.2205 0.6354  2 P 3.13
Ba 0.8563 0.7209 0.1359  2 P 3.13
P 0.2517 0.0852 0.1668  3 Ba 3.13
P 0.2517 0.5849 0.6665  3 Ba 3.13
P 0.5852 0.3351 0.7501  3 Rb 3.52, 6 Ba 3.52-3.53
P 0.5849 0.8351 0.2499  3 Rb 3.52, 6 Ba 3.52-3.53
P 0.9184 0.0849 0.8332  3 Ba 3.13
P 0.9184 0.5852 0.3335  3 Ba 3.13

Output
space-group type: Ima2
energy of formation from the pure elements: -594 meV/atom
uncorrected energy: -60.498 eV/cell

***

Question: The lowest uncorrected energy belongs to which entry?
Answer: BaPu2SiP4

***

What did the eleventh record say?
A plane-wave DFT calculation with PBE was carried out for crystalline RbBaP at its relaxed geometry.

a = 10.0307 Å, b = 10.0307 Å, c = 10.0307 Å
α = 115.71°, β = 85.68°, γ = 129.91°
Last column: nearest neighbours and their distance in Å.
Fractional positions:
Rb 0.9997 0.2500 0.2497  5 P 3.52-3.70, 2 Ba 3.77
Rb 0.0003 0.7500 0.7503  5 P 3.52-3.70, 2 Ba 3.77
Rb 0.1700 0.1272 0.5428  5 P 3.52-3.70, 2 Ba 3.77
Rb 0.1701 0.6278 0.0423  5 P 3.52-3.70, 2 Ba 3.77
Rb 0.5845 0.6272 0.4572  5 P 3.52-3.70, 2 Ba 3.77
Rb 0.5855 0.1278 0.9577  5 P 3.52-3.70, 2 Ba 3.77
Ba 0.3138 0.3138 0.0000  2 P 3.13
Ba 0.3138 0.8138 0.5000  2 P 3.13
Ba 0.5851 0.2209 0.3646  2 P 3.13
Ba 0.5851 0.7205 0.8641  2 P 3.13
Ba 0.8563 0.2205 0.6354  2 P 3.13
Ba 0.8563 0.7209 0.1359  2 P 3.13
P 0.2517 0.0852 0.1668  3 Ba 3.13
P 0.2517 0.5849 0.6665  3 Ba 3.13
P 0.5852 0.3351 0.7501  3 Rb 3.52, 6 Ba 3.52-3.53
P 0.5849 0.8351 0.2499  3 Rb 3.52, 6 Ba 3.52-3.53
P 0.9184 0.0849 0.8332  3 Ba 3.13
P 0.9184 0.5852 0.3335  3 Ba 3.13

Output
space-group type: Ima2
energy of formation from the pure elements: -594 meV/atom
uncorrected energy: -60.498 eV/cell

***

Question: Which value of uncorrected energy does entry 8 give?
Answer: -129.123 eV/cell